A relaxed CsTaP2O8 crystal, computed with GGA-PBE.

Calculated volume   17.8 Å³ per atom
ρ   3.92 g/cm3
Uncorrected energy   -93.1 eV for the cell shown

a b c (Å): 5.177 5.177 9.076
angles (deg): 92.12 92.12 61.38
Positions (direct):
Cs 0.000 0.000 0.000
Ta 0.000 0.000 0.500
P 0.351 0.351 0.692
P 0.649 0.649 0.308
O 0.204 0.204 0.590
O 0.207 0.679 0.643
O 0.321 0.793 0.357
O 0.323 0.323 0.852
O 0.677 0.677 0.148
O 0.679 0.207 0.643
O 0.793 0.321 0.357
O 0.796 0.796 0.410